P2PbSCl GGA-PBE optimized geometry; energy above the most stable polymorph in this dataset = 0.613 eV per atom; E_form (uncorrected) = 1.100 eV per atom; total DFT energy (no corrections) = -15.00 eV for the cell shown
1.0
-1.5267 -4.3461 2.2812
4.1467 0.1361 3.0347
-2.7892 2.9117 3.6806
Pb P Cl S
1 2 1 1
Direct
0.5000 0.5000 0.5000
0.0000 0.5000 0.0000
0.5000 0.0000 0.0000
0.0000 0.0000 0.0000
0.0000 0.0000 0.5000

RbPI3 GGA-PBE optimized geometry; energy above the most stable polymorph in this dataset = 0.116 eV per atom; E_form (uncorrected) = -0.488 eV per atom; total DFT energy (no corrections) = -13.47 eV for the cell shown
1.0
-3.6210 0.6159 4.3878
-2.5518 -4.9224 -1.4149
3.6223 -2.8520 3.3895
I P Rb
3 1 1
Direct
0.0000 0.5000 0.0000
0.0000 0.0000 0.5000
0.5000 0.0000 0.0000
0.0000 0.0000 0.0000
0.5000 0.5000 0.5000

What is the E_form (uncorrected) in the second record? -0.488 eV per atom

Which of these has the lowest E_form (uncorrected)? RbPI3

Which formula does entry 1 have? P2PbSCl

What is the total DFT energy (no corrections) in the first record? -15.00 eV for the cell shown